1:
Crystalline TaAg2W at its relaxed geometry, computed with PBE.

POSCAR file:
```
TaAg2W
1.0
0.000 3.260 3.260
3.260 0.000 3.260
3.260 3.260 0.000
Ta Ag W
1 2 1
direct
0.000 0.000 0.000
0.250 0.250 0.250
0.750 0.750 0.750
0.500 0.500 0.500
```

- calculated volume (Å³ per atom) = 17.3



2:
Crystalline TaAg2W at its relaxed geometry, computed with PBE.

POSCAR file:
```
TaAg2W
1.0
2.778 0.000 0.000
0.000 2.778 0.000
0.000 0.000 8.968
Ta Ag W
1 2 1
direct
0.000 0.000 0.000
0.000 0.000 0.495
0.500 0.500 0.748
0.500 0.500 0.250
```

- calculated volume (Å³ per atom) = 17.3



3:
Crystalline TaAg2W at its relaxed geometry, computed with PBE.

POSCAR file:
```
TaAg2W
1.0
2.734 0.000 0.000
0.000 4.987 0.000
-0.802 0.000 5.091
Ta Ag W
1 2 1
direct
0.000 0.000 0.000
0.259 0.500 0.747
0.741 0.500 0.253
0.500 0.000 0.500
```

- calculated volume (Å³ per atom) = 17.4



4:
Crystalline TaAg2W at its relaxed geometry, computed with PBE.

POSCAR file:
```
TaAg2W
1.0
2.765 0.000 0.000
0.000 4.184 0.000
-0.005 0.000 5.985
Ta Ag W
1 2 1
direct
0.000 0.000 0.000
0.497 0.500 0.734
0.993 0.000 0.497
0.490 0.500 0.238
```

- calculated volume (Å³ per atom) = 17.3



Stability summary - winner: 2; margin: 0.109 eV/atom.



1:
Crystalline TaAgW at its relaxed geometry, computed with PBE.

POSCAR file:
```
TaAgW
1.0
-1.682 1.682 4.706
1.682 -1.682 4.706
1.682 1.682 -4.706
Ta Ag W
1 1 1
direct
0.000 0.000 0.000
0.683 0.683 0.000
0.363 0.363 0.000
```

- calculated volume (Å³ per atom) = 17.7



2:
Crystalline TaAgW at its relaxed geometry, computed with PBE.

POSCAR file:
```
TaAgW
1.0
-1.369 1.369 6.872
1.369 -1.369 6.872
1.369 1.369 -6.872
Ta Ag W
1 1 1
direct
0.000 0.000 0.000
0.332 0.332 0.000
0.668 0.668 0.000
```

- calculated volume (Å³ per atom) = 17.2



Stability summary - winner: 2; margin: 0.154 eV/atom.



1:
Crystalline TaAgW at its relaxed geometry, computed with PBE.

POSCAR file:
```
TaAgW
1.0
0.000 3.148 3.148
3.148 0.000 3.148
3.148 3.148 0.000
Ta Ag W
1 1 1
direct
0.000 0.000 0.000
0.750 0.750 0.750
0.250 0.250 0.250
```

- calculated volume (Å³ per atom) = 20.8



2:
Crystalline TaAgW at its relaxed geometry, computed with PBE.

POSCAR file:
```
TaAgW
1.0
-1.336 2.176 4.480
1.336 -2.176 4.480
1.336 2.176 -4.480
Ta Ag W
1 1 1
direct
0.000 0.000 0.000
0.672 0.672 0.000
0.341 0.341 0.000
```

- calculated volume (Å³ per atom) = 17.4



3:
Crystalline TaAgW at its relaxed geometry, computed with PBE.

POSCAR file:
```
TaAgW
1.0
2.827 0.000 0.000
-1.413 2.448 0.000
0.000 0.000 7.543
Ta Ag W
1 1 1
direct
0.000 0.000 0.000
0.667 0.333 0.664
0.333 0.667 0.334
```

- calculated volume (Å³ per atom) = 17.4



4:
Crystalline TaAgW at its relaxed geometry, computed with PBE.

POSCAR file:
```
TaAgW
1.0
0.000 2.204 7.052
1.660 0.000 7.052
1.660 2.204 0.000
Ta Ag W
1 1 1
direct
0.000 0.000 0.000
0.329 0.329 0.671
0.661 0.661 0.339
```

- calculated volume (Å³ per atom) = 17.2



Stability summary - winner: 4; margin: 0.136 eV/atom.



1:
Crystalline Ta3AgW at its relaxed geometry, computed with PBE.

POSCAR file:
```
Ta3AgW
1.0
4.876 0.000 0.000
0.000 4.876 0.000
0.000 0.000 4.876
Ta Ag W
3 1 1
direct
0.000 0.000 0.500
0.000 0.500 0.000
0.500 0.000 0.000
0.500 0.500 0.500
0.000 0.000 0.000
```

- calculated volume (Å³ per atom) = 23.2



2:
Crystalline Ta3AgW at its relaxed geometry, computed with PBE.

POSCAR file:
```
Ta3AgW
1.0
4.802 0.000 0.000
0.000 4.802 0.000
0.000 0.000 4.802
Ta Ag W
3 1 1
direct
0.000 0.000 0.500
0.000 0.500 0.000
0.500 0.000 0.000
0.000 0.000 0.000
0.500 0.500 0.500
```

- calculated volume (Å³ per atom) = 22.1



Stability summary - winner: 1; margin: 0.762 eV/atom.



1:
Crystalline YTaAg2 at its relaxed geometry, computed with PBE.

POSCAR file:
```
YTaAg2
1.0
-2.206 2.206 4.201
2.206 -2.206 4.201
2.206 2.206 -4.201
Y Ta Ag
1 1 2
direct
0.000 0.000 0.000
0.500 0.500 0.000
0.250 0.750 0.500
0.750 0.250 0.500
```

- calculated volume (Å³ per atom) = 20.4



2:
Crystalline YTaAg2 at its relaxed geometry, computed with PBE.

POSCAR file:
```
YTaAg2
1.0
-2.105 2.105 4.615
2.105 -2.105 4.615
2.105 2.105 -4.615
Y Ta Ag
1 1 2
direct
0.000 0.000 0.000
0.750 0.250 0.500
0.250 0.750 0.500
0.500 0.500 0.000
```

- calculated volume (Å³ per atom) = 20.5



3:
Crystalline YTaAg2 at its relaxed geometry, computed with PBE.

POSCAR file:
```
YTaAg2
1.0
0.000 3.469 3.469
3.469 0.000 3.469
3.469 3.469 0.000
Y Ta Ag
1 1 2
direct
0.000 0.000 0.000
0.500 0.500 0.500
0.250 0.250 0.250
0.750 0.750 0.750
```

- calculated volume (Å³ per atom) = 20.9



Stability summary - winner: 3; margin: 0.019 eV/atom.



1:
Crystalline Y2TaAg at its relaxed geometry, computed with PBE.

POSCAR file:
```
Y2TaAg
1.0
1.655 0.955 10.115
-1.655 0.955 10.115
0.000 -1.911 10.115
Y Ta Ag
2 1 1
direct
0.250 0.250 0.250
0.750 0.750 0.750
0.000 0.000 0.000
0.500 0.500 0.500
```

- calculated volume (Å³ per atom) = 24.0



2:
Crystalline Y2TaAg at its relaxed geometry, computed with PBE.

POSCAR file:
```
Y2TaAg
1.0
3.254 0.000 0.000
0.000 3.254 0.000
0.000 0.000 9.117
Y Ta Ag
2 1 1
direct
0.000 0.000 0.000
0.500 0.500 0.327
0.500 0.500 0.765
0.000 0.000 0.569
```

- calculated volume (Å³ per atom) = 24.1



Stability summary - winner: 2; margin: 0.037 eV/atom.